Entry 1:
Computed, not measured: an optimized crystal structure of TlAgTeO6 at the PBE level of DFT.

Values from the calculation:
- VASP energy: -4.7388 eV per atom

a = 4.955 Å, b = 4.955 Å, c = 9.939 Å
α = 90.00°, β = 90.00°, γ = 90.00°
Fractional positions:
Tl 0.000 0.000 0.000
Tl 0.500 0.500 0.500
Ag 0.000 0.000 0.331
Ag 0.500 0.500 0.831
Te 0.000 0.000 0.666
Te 0.500 0.500 0.166
O 0.179 0.179 0.514
O 0.185 0.185 0.814
O 0.216 0.216 0.167
O 0.284 0.716 0.667
O 0.315 0.685 0.314
O 0.321 0.679 0.014
O 0.679 0.321 0.014
O 0.685 0.315 0.314
O 0.716 0.284 0.667
O 0.784 0.784 0.167
O 0.815 0.815 0.814
O 0.821 0.821 0.514

Entry 2:
Computed, not measured: an optimized crystal structure of Ce2NbAu at the PBE level of DFT.

Values from the calculation:
- Energy above the most stable polymorph in this dataset: 260.7 meV per atom

a = 11.271 Å, b = 11.271 Å, c = 11.271 Å
α = 15.46°, β = 15.46°, γ = 15.46°
Fractional positions:
Ce 0.085 0.085 0.085
Ce 0.915 0.915 0.915
Nb 0.000 0.000 0.000
Au 0.500 0.500 0.500

Entry 3:
Computed, not measured: an optimized crystal structure of Be2CuNi at the PBE level of DFT.

Values from the calculation:
- VASP energy: -4.3251 eV per atom

a = 7.782 Å, b = 7.782 Å, c = 7.782 Å
α = 18.07°, β = 18.07°, γ = 18.07°
Fractional positions:
Be 0.000 0.000 0.000
Be 0.253 0.253 0.253
Cu 0.749 0.749 0.749
Ni 0.509 0.509 0.509

One value per record, in order, for volume: 13.56; 22.15; 9.90 Å³/atom.
One value per record, in order, for N(E_F): 8.08; 7.86; 2.56 states/eV/cell.